## Pr3Mn2Sb3O14 (PBE+U)

Data for a relaxed Pr3Mn2Sb3O14 crystal.

## Properties
**E_tot**: -160.39 eV/cell
**Total moment**: 10.00 μB per formula unit
**Space-group type**: R-3m, No. 166

abc: 7.3952 7.3952 7.3952
angles: 61.93 61.93 61.93
Last column: nearest neighbours and their distance in Å.
Positions (direct):
Pr  0.5000  0.5000  0.0000  8 O 2.38-2.66
Pr  0.5000  0.0000  0.5000  8 O 2.38-2.66
Pr  0.0000  0.5000  0.5000  8 O 2.38-2.66
Mn  0.0000  0.0000  0.0000  6 O 2.20
Mn  0.5000  0.5000  0.5000  2 O 2.05
Sb  0.0000  0.0000  0.5000  6 O 1.97-2.04
Sb  0.0000  0.5000  0.0000  6 O 1.97-2.04
Sb  0.5000  0.0000  0.0000  6 O 1.97-2.04
O  0.6149  0.6149  0.6149  1 Mn 2.05
O  0.3851  0.3851  0.3851  1 Mn 2.05
O  0.9213  0.3194  0.3194  2 Sb 2.04
O  0.3194  0.3194  0.9213  2 Sb 2.04
O  0.3194  0.9213  0.3194  2 Sb 2.04
O  0.0787  0.6806  0.6806  2 Sb 2.04
O  0.6806  0.6806  0.0787  2 Sb 2.04
O  0.6806  0.0787  0.6806  2 Sb 2.04
O  0.3534  0.9092  0.9092  1 Sb 1.97, 1 Mn 2.20
O  0.9092  0.9092  0.3534  1 Sb 1.97, 1 Mn 2.20
O  0.9092  0.3534  0.9092  1 Sb 1.97, 1 Mn 2.20
O  0.6466  0.0908  0.0908  1 Sb 1.97, 1 Mn 2.20
O  0.0908  0.0908  0.6466  1 Sb 1.97, 1 Mn 2.20
O  0.0908  0.6466  0.0908  1 Sb 1.97, 1 Mn 2.20